# 1
The following is a PBE calculation of crystalline ScTl2Pt2 at its relaxed geometry, from Alexandria.

Cell: 6.9584 6.9584 4.4321 Å, 90.00 90.00 90.00°
Closest atoms and distances in Å follow each position.
Space group P4/mbm (No. 127)
Inequivalent atoms, fractional coordinates:
Sc1 0.0000 0.0000 0.0000 (multiplicity 2)  4 Pt 2.70
Tl1 0.1756 0.3244 0.5000 (multiplicity 4)  6 Pt 2.89-3.11
Pt1 0.1359 0.6359 0.0000 (multiplicity 4)  1 Pt 2.67, 2 Sc 2.70, 2 Tl 2.89

Computed properties:
formation enthalpy at 0 K	-1.68	eV/f.u.

---

# 2
The following is a PBE calculation of crystalline SrTbGa4 at its relaxed geometry, from Alexandria.

Cell: 7.9949 7.9949 7.9949 Å, 90.00 90.00 90.00°
Closest atoms and distances in Å follow each position.
Space group F-43m (No. 216)
Inequivalent atoms, fractional coordinates:
Sr1 0.0000 0.0000 0.0000 (multiplicity 4)  12 Ga 3.32, 4 Tb 3.46
Tb1 0.2500 0.2500 0.2500 (multiplicity 4)  12 Ga 3.31, 4 Sr 3.46
Ga1 0.1245 0.1245 0.6245 (multiplicity 16)  6 Ga 2.81-2.84

Computed properties:
energy above the most stable polymorph in this dataset	1.98	kcal/mol of atoms
formation enthalpy at 0 K	-2.63	eV/f.u.

---

# 3
The following is a PBE calculation of crystalline GaFeH3 at its relaxed geometry, from Alexandria.

Cell: 3.2952 3.2952 3.2952 Å, 90.00 90.00 90.00°
Closest atoms and distances in Å follow each position.
Space group Pm-3m (No. 221)
Inequivalent atoms, fractional coordinates:
Ga1 0.0000 0.0000 0.0000 (multiplicity 1)  12 H 2.33
Fe1 0.5000 0.5000 0.5000 (multiplicity 1)  6 H 1.65
H1 0.0000 0.5000 0.5000 (multiplicity 3)  2 Fe 1.65

Computed properties:
energy above the most stable polymorph in this dataset	0.00	kcal/mol of atoms